DFT (PBE) results for a relaxed Ba3NaPt crystal.

Summary:
Final energy, eV/atom: -3.026

Unit cell a=6.3018 b=6.3018 c=6.3018 alpha=90.00 beta=90.00 gamma=90.00
Fractional coordinates of all 5 atoms:
Ba1 0.0000 0.5000 0.5000
Ba2 0.5000 0.0000 0.5000
Ba3 0.5000 0.5000 0.0000
Na1 0.0000 0.0000 0.0000
Pt1 0.5000 0.5000 0.5000

DFT (PBE) results for a relaxed TaGaFePd crystal.

Summary:
Final energy, eV/atom: -7.127

Unit cell a=4.4154 b=4.4154 c=4.4154 alpha=60.00 beta=60.00 gamma=60.00
Fractional coordinates of all 4 atoms:
Ta1 0.2500 0.2500 0.2500
Ga1 0.0000 0.0000 0.0000
Fe1 0.7500 0.7500 0.7500
Pd1 0.5000 0.5000 0.5000

DFT (PBE) results for a relaxed BaTcOsAu crystal.

Summary:
Final energy, eV/atom: -5.601

Unit cell a=4.8484 b=4.8484 c=4.8484 alpha=60.00 beta=60.00 gamma=60.00
Fractional coordinates of all 4 atoms:
Os1 0.0000 0.0000 0.0000
Au1 0.7500 0.7500 0.7500
Ba1 0.5000 0.5000 0.5000
Tc1 0.2500 0.2500 0.2500

DFT (PBE) results for a relaxed YMgCu crystal.

Summary:
Final energy, eV/atom: -4.086

Unit cell a=4.9341 b=4.9341 c=5.9902 alpha=90.00 beta=90.00 gamma=120.00
Fractional coordinates of all 6 atoms:
Y1 0.3333 0.6667 0.2500
Y2 0.6667 0.3333 0.7500
Cu1 0.3333 0.6667 0.7500
Cu2 0.6667 0.3333 0.2500
Mg1 0.0000 0.0000 0.0000
Mg2 0.0000 0.0000 0.5000

DFT (PBE) results for a relaxed ZrAlPdC crystal.

Summary:
Final energy, eV/atom: -7.001

Unit cell a=3.2032 b=3.2032 c=13.0789 alpha=90.00 beta=90.00 gamma=120.00
Fractional coordinates of all 8 atoms:
C1 0.3333 0.6667 0.6117
C2 0.6667 0.3333 0.1117
Zr1 0.3333 0.6667 0.2148
Zr2 0.6667 0.3333 0.7148
Al1 0.0000 0.0000 0.0361
Al2 0.0000 0.0000 0.5361
Pd1 0.3333 0.6667 0.8873
Pd2 0.6667 0.3333 0.3873

DFT (PBE) results for a relaxed SmGdBr3 crystal.

Summary:
Final energy, eV/atom: -4.386

Unit cell a=8.5024 b=8.5024 c=10.9323 alpha=118.59 beta=118.59 gamma=27.14
Fractional coordinates of all 10 atoms:
Sm1 0.1367 0.1367 0.2880
Sm2 0.8633 0.8633 0.7120
Br1 0.6572 0.6572 0.5106
Br2 0.2269 0.2269 0.1181
Br3 0.3428 0.3428 0.4894
Br4 0.0473 0.0473 0.7357
Br5 0.7731 0.7731 0.8819
Br6 0.9527 0.9527 0.2643
Gd1 0.5824 0.5824 0.9523
Gd2 0.4176 0.4176 0.0477

DFT (PBE) results for a relaxed Ho2Ga3Hg3 crystal.

Summary:
Final energy, eV/atom: -2.757

Unit cell a=6.5017 b=6.5017 c=4.7664 alpha=90.00 beta=90.00 gamma=120.00
Fractional coordinates of all 8 atoms:
Ga1 0.5138 0.4862 0.0000
Ga2 0.9724 0.4862 0.0000
Ga3 0.5138 0.0276 0.0000
Hg1 0.8295 0.1705 0.5000
Hg2 0.3410 0.1705 0.5000
Hg3 0.8295 0.6590 0.5000
Ho1 0.3333 0.6667 0.5000
Ho2 0.0000 0.0000 0.0000

DFT (PBE) results for a relaxed CsNaPtW crystal.

Summary:
Final energy, eV/atom: -3.528

Unit cell a=5.3349 b=5.3349 c=5.3349 alpha=60.00 beta=60.00 gamma=60.00
Fractional coordinates of all 4 atoms:
Na1 0.7500 0.7500 0.7500
Pt1 0.5000 0.5000 0.5000
W1 0.0000 0.0000 0.0000
Cs1 0.2500 0.2500 0.2500

DFT (PBE) results for a relaxed ZrPd crystal.

Summary:
E_form, eV/f.u.: -0.7
Final energy, eV/atom: -7.213

Unit cell a=5.1261 b=5.9366 c=4.8453 alpha=90.00 beta=90.00 gamma=90.00
Fractional coordinates of all 8 atoms:
Pd1 0.3133 0.0000 0.5000
Pd2 0.0084 0.0000 0.0000
Pd3 0.8412 0.7581 0.5000
Pd4 0.8412 0.2419 0.5000
Zr1 0.9755 0.5000 0.0000
Zr2 0.5006 0.7665 0.0000
Zr3 0.5006 0.2335 0.0000
Zr4 0.3526 0.5000 0.5000

DFT (PBE) results for a relaxed Ho3Er2ScSb2Os crystal.

Summary:
Final energy, eV/atom: -6.035

Unit cell a=4.1350 b=8.0796 c=8.0796 alpha=119.55 beta=90.00 gamma=90.00
Fractional coordinates of all 9 atoms:
Ho1 0.5000 0.2391 0.2391
Ho2 0.5000 0.9969 0.7581
Ho3 0.5000 0.7581 0.9969
Er1 0.0000 0.0000 0.3920
Er2 0.0000 0.3920 0.0000
Sc1 0.0000 0.6106 0.6106
Sb1 0.5000 0.6651 0.3383
Sb2 0.5000 0.3383 0.6651
Os1 0.0000 0.9998 0.9998

DFT (PBE) results for a relaxed PaCo crystal.

Summary:
E_form, eV/f.u.: 0.2
Final energy, eV/atom: -8.177

Unit cell a=4.4039 b=4.4039 c=5.2794 alpha=90.00 beta=90.00 gamma=120.00
Fractional coordinates of all 4 atoms:
Pa1 0.0000 0.0000 0.4373
Pa2 0.3333 0.6667 0.9373
Co1 0.3333 0.6667 0.4377
Co2 0.0000 0.0000 0.9377

DFT (PBE) results for a relaxed ThZnIr crystal.

Summary:
E_form, eV/f.u.: -1.6
Final energy, eV/atom: -6.383

Unit cell a=4.6557 b=4.6557 c=4.6557 alpha=60.00 beta=60.00 gamma=60.00
Fractional coordinates of all 3 atoms:
Th1 0.7500 0.7500 0.7500
Ir1 0.0000 0.0000 0.0000
Zn1 0.2500 0.2500 0.2500

Number 1: M_tot 0.001 μB per atom. Number 2: M_tot 0.579 μB per atom. Number 3: M_tot 0.008 μB per atom. Number 4: M_tot 0.001 μB per atom. Number 5: M_tot 0.073 μB per atom. Number 6: M_tot 0.001 μB per atom. Number 7: M_tot 0.000 μB per atom. Number 8: M_tot 1.131 μB per atom. Number 9: M_tot 0.005 μB per atom. Number 10: M_tot 0.002 μB per atom. Number 11: M_tot 0.002 μB per atom. Number 12: M_tot 0.000 μB per atom.